First-principles (GGA-PBE) data for a relaxed CaV3Ni crystal, as listed in Alexandria via LeMat-Bulk.

The structure in POSCAR format:
```
CaV3Ni
1.0
4.2794 0.0000 0.0000
0.0000 4.2794 0.0000
0.0000 0.0000 4.2794
Ca V Ni
1 3 1
Direct
0.0000 0.0000 0.0000
0.0000 0.0000 0.5000
0.0000 0.5000 0.0000
0.5000 0.0000 0.0000
0.5000 0.5000 0.5000
```

Results
**SG**: Pm-3m, No. 221
**Calculated density**: 5.33 g/cm3
**Distance to the lowest polymorph of the same formula**: 7.51 eV per formula unit
**Energy relative to the elements**: 11.63 eV/f.u.
**Raw total energy**: -4.702 eV/atom